(1)
# NaYZr, relaxed, DFT GGA-PBE
data_NaYZr
_space_group_name_H-M_alt 'C m c m'
_space_group_IT_number 63
_space_group_name_Hall '-C 2c 2'
_cell_length_a 5.811
_cell_length_b 11.273
_cell_length_c 5.155
_cell_angle_alpha 90.00
_cell_angle_beta 90.00
_cell_angle_gamma 90.00
loop_
_atom_site_label
_atom_site_fract_x
_atom_site_fract_y
_atom_site_fract_z
Na1 0.000 0.076 0.250
Y1 0.000 0.261 0.750
Zr1 0.000 0.450 0.250
# V in A^3/atom: 28.1
# Formation energy in eV/atom: 0.4131
# Mass density in g/cm3: 4.00
# Distance to the lowest polymorph of the same formula in meV per atom: 319


(2)
# KTbP2H4O9, relaxed, DFT GGA-PBE
data_KTbP2H4O9
_space_group_name_H-M_alt 'P 1 21/c 1'
_space_group_IT_number 14
_space_group_name_Hall '-P 2ybc'
_cell_length_a 7.853
_cell_length_b 10.574
_cell_length_c 10.235
_cell_angle_alpha 90.00
_cell_angle_beta 92.92
_cell_angle_gamma 90.00
loop_
_atom_site_label
_atom_site_fract_x
_atom_site_fract_y
_atom_site_fract_z
K1 0.248 0.219 0.153
Tb1 0.252 0.618 0.330
P1 0.037 0.651 0.625
P2 0.397 0.608 0.666
H1 0.155 0.607 0.043
H2 0.287 0.009 0.543
H3 0.424 0.073 0.367
H4 0.462 0.188 0.459
O1 0.046 0.737 0.220
O2 0.065 0.693 0.484
O3 0.123 0.071 0.862
O4 0.198 0.557 0.667
O5 0.222 0.549 0.100
O6 0.376 0.121 0.440
O7 0.416 0.717 0.763
O8 0.426 0.649 0.525
O9 0.498 0.008 0.213
# V in A^3/atom: 12.5
# Final energy in eV/atom: -6.495
# Mass density in g/cm3: 3.19


(3)
# V2Mo8W3, relaxed, DFT GGA-PBE
data_V2Mo8W3
_space_group_name_H-M_alt 'C 1 2/m 1'
_space_group_IT_number 12
_space_group_name_Hall '-C 2y'
_cell_length_a 13.579
_cell_length_b 6.960
_cell_length_c 4.609
_cell_angle_alpha 90.00
_cell_angle_beta 90.16
_cell_angle_gamma 90.00
loop_
_atom_site_label
_atom_site_fract_x
_atom_site_fract_y
_atom_site_fract_z
V1 0.221 0.000 0.001
Mo1 0.116 0.293 0.000
Mo2 0.128 0.000 0.500
Mo3 0.173 0.500 0.500
W1 0.000 0.000 0.000
W2 0.000 0.296 0.500
# V in A^3/atom: 16.8
# Formation energy in eV/atom: 0.5269
# Mass density in g/cm3: 10.83
# Distance to the lowest polymorph of the same formula in meV per atom: 63


(4)
# Ba6Tl2Cd, relaxed, DFT GGA-PBE
data_Ba6Tl2Cd
_space_group_name_H-M_alt 'P 1 21/c 1'
_space_group_IT_number 14
_space_group_name_Hall '-P 2ybc'
_cell_length_a 8.133
_cell_length_b 9.518
_cell_length_c 13.485
_cell_angle_alpha 90.00
_cell_angle_beta 120.21
_cell_angle_gamma 90.00
loop_
_atom_site_label
_atom_site_fract_x
_atom_site_fract_y
_atom_site_fract_z
Ba1 0.088 0.046 0.237
Ba2 0.212 0.681 0.076
Ba3 0.391 0.165 0.061
Tl1 0.311 0.121 0.758
Cd1 0.500 0.000 0.500
# V in A^3/atom: 50.1
# Formation energy in eV/atom: -0.1937
# Mass density in g/cm3: 4.95
# Distance to the lowest polymorph of the same formula in meV per atom: 28


(5)
# KZnPb4, relaxed, DFT GGA-PBE
data_KZnPb4
_space_group_name_H-M_alt 'F -4 3 m'
_space_group_IT_number 216
_space_group_name_Hall 'F -4 2 3'
_cell_length_a 9.307
_cell_length_b 9.307
_cell_length_c 9.307
_cell_angle_alpha 90.00
_cell_angle_beta 90.00
_cell_angle_gamma 90.00
loop_
_atom_site_label
_atom_site_fract_x
_atom_site_fract_y
_atom_site_fract_z
K1 0.000 0.000 0.000
Zn1 0.250 0.250 0.250
Pb1 0.125 0.125 0.625
# V in A^3/atom: 33.6
# Formation energy in eV/atom: 0.0962
# Mass density in g/cm3: 7.69


(6)
# PmNd3Dy2, relaxed, DFT GGA-PBE
data_PmNd3Dy2
_space_group_name_H-M_alt 'I m m m'
_space_group_IT_number 71
_space_group_name_Hall '-I 2 2'
_cell_length_a 3.513
_cell_length_b 5.984
_cell_length_c 19.738
_cell_angle_alpha 90.00
_cell_angle_beta 90.00
_cell_angle_gamma 90.00
loop_
_atom_site_label
_atom_site_fract_x
_atom_site_fract_y
_atom_site_fract_z
Pm1 0.000 0.000 0.000
Nd1 0.000 0.000 0.191
Nd2 0.000 0.500 0.000
Dy1 0.000 0.000 0.363
# V in A^3/atom: 34.6
# Formation energy in eV/atom: 0.3270
# Mass density in g/cm3: 7.22
# Distance to the lowest polymorph of the same formula in meV per atom: 312


(7)
# CeZnH8Rh4, relaxed, DFT GGA-PBE
data_CeZnH8Rh4
_space_group_name_H-M_alt 'R 3 m'
_space_group_IT_number 160
_space_group_name_Hall 'R 3 -2"'
_cell_length_a 5.7767
_cell_length_b 5.7767
_cell_length_c 13.4612
_cell_angle_alpha 90.00
_cell_angle_beta 90.00
_cell_angle_gamma 120.00
loop_
_atom_site_label
_atom_site_fract_x
_atom_site_fract_y
_atom_site_fract_z
Ce1 0.0000 0.0000 0.0000
Zn1 0.0000 0.0000 0.6070
H1 0.0000 0.0000 0.3800
H2 0.0000 0.0000 0.8348
H3 0.0519 0.5259 0.8313
H4 0.0832 0.5416 0.3885
Rh1 0.0000 0.0000 0.2462
Rh2 0.0038 0.5019 0.1193
# V in A^3/atom: 9.3
# Final energy in eV/atom: -4.719
# Mass density in g/cm3: 8.01


(8)
# TiFeTc3, relaxed, DFT GGA-PBE
data_TiFeTc3
_space_group_name_H-M_alt 'P m -3 m'
_space_group_IT_number 221
_space_group_name_Hall '-P 4 2 3'
_cell_length_a 4.429
_cell_length_b 4.429
_cell_length_c 4.429
_cell_angle_alpha 90.00
_cell_angle_beta 90.00
_cell_angle_gamma 90.00
loop_
_atom_site_label
_atom_site_fract_x
_atom_site_fract_y
_atom_site_fract_z
Ti1 0.000 0.000 0.000
Fe1 0.500 0.500 0.500
Tc1 0.000 0.000 0.500
# V in A^3/atom: 17.4
# Formation energy in eV/atom: 1.7140
# Mass density in g/cm3: 7.60
# Distance to the lowest polymorph of the same formula in meV per atom: 761